Version w
The following is a GGA-PBE calculation of Na2Zn2Au3 after structural relaxation, from the Alexandria database.

Cell: 7.146 7.146 5.669 Å, 107.92 107.92 36.84°
Atoms (fractional coordinates):
1 Na 0.141 0.141 0.050
2 Na 0.859 0.859 0.950
3 Zn 0.393 0.393 0.472
4 Zn 0.607 0.607 0.528
5 Au 0.000 0.000 0.500
6 Au 0.217 0.217 0.602
7 Au 0.783 0.783 0.398

Version x
The following is a GGA-PBE calculation of Na2Zn2Au3 after structural relaxation, from the Alexandria database.

Cell: 5.742 5.742 7.365 Å, 116.60 116.60 42.40°
Atoms (fractional coordinates):
1 Na 0.146 0.146 0.274
2 Na 0.854 0.854 0.726
3 Zn 0.141 0.141 0.734
4 Zn 0.859 0.859 0.266
5 Au 0.394 0.394 0.061
6 Au 0.500 0.500 0.500
7 Au 0.606 0.606 0.939

Relative energies, eV/atom: version w 0.016; version x 0.000.